[1]
A plane-wave DFT calculation with GGA-PBE was carried out for an optimized crystal structure of SmTcB2.

a b c (Å): 3.4188 3.4188 16.9010
angles (deg): 90.00 90.00 120.00
Space group R-3m (No. 166, hexagonal axes)
Symmetry-distinct sites (fractional):
1 Sm 0.0000 0.0000 0.0000 [3 per cell]
2 Tc 0.0000 0.0000 0.5000 [3 per cell]
3 B 0.0000 0.0000 0.2265 [6 per cell]

Summary:
The calculation puts the total energy at -7.129 eV/atom. The energy above the most stable polymorph in this dataset is 444 meV per atom. The value obtained for the size of the total moment is 0.000 μB/atom. The calculation puts the formation energy at -0.019 eV/atom.



[2]
A plane-wave DFT calculation with GGA-PBE was carried out for an optimized crystal structure of SmTcB.

a b c (Å): 3.7613 3.7613 4.2406
angles (deg): 90.00 90.00 120.00
Space group P-6m2 (No. 187)
Symmetry-distinct sites (fractional):
1 Sm 0.0000 0.0000 0.0000 [1 per cell]
2 Tc 0.6667 0.3333 0.5000 [1 per cell]
3 B 0.3333 0.6667 0.5000 [1 per cell]

Summary:
The calculation puts the total energy at -7.384 eV/atom. The value obtained for the size of the total moment is 0.000 μB/atom. The calculation puts the formation energy at -0.130 eV/atom.



[3]
A plane-wave DFT calculation with GGA-PBE was carried out for an optimized crystal structure of SmTcB4.

a b c (Å): 3.174 5.428 7.349
angles (deg): 90.00 90.00 90.00
Space group Immm (No. 71)
Symmetry-distinct sites (fractional):
1 Sm 0.000 0.000 0.000 [2 per cell]
2 Tc 0.000 0.000 0.500 [2 per cell]
3 B 0.000 0.337 0.247 [8 per cell]

Summary:
The calculation puts the total energy at -7.172 eV/atom. The energy above the most stable polymorph in this dataset is 366 meV per atom. The value obtained for the size of the total moment is 0.000 μB/atom. The calculation puts the formation energy at -0.206 eV/atom.



[4]
A plane-wave DFT calculation with GGA-PBE was carried out for an optimized crystal structure of SmTc2B4.

a b c (Å): 11.559 5.584 5.823
angles (deg): 90.00 111.18 90.00
Space group C2/c (No. 15)
Symmetry-distinct sites (fractional):
1 Sm 0.000 0.240 0.250 [4 per cell]
2 Tc 0.241 0.433 0.165 [8 per cell]
3 B 0.082 0.306 0.799 [8 per cell]
4 B 0.141 0.104 0.024 [8 per cell]

Summary:
The calculation puts the total energy at -7.579 eV/atom. The value obtained for the size of the total moment is 0.000 μB/atom. The calculation puts the formation energy at -0.128 eV/atom.



[5]
A plane-wave DFT calculation with GGA-PBE was carried out for an optimized crystal structure of SmTcB2.

a b c (Å): 6.083 3.542 10.192
angles (deg): 90.00 90.00 90.00
Space group Pnma (No. 62)
Symmetry-distinct sites (fractional):
1 Sm 0.108 0.250 0.138 [4 per cell]
2 Tc 0.116 0.250 0.439 [4 per cell]
3 B 0.034 0.250 0.671 [4 per cell]
4 B 0.238 0.250 0.815 [4 per cell]

Summary:
The calculation puts the total energy at -7.429 eV/atom. The energy above the most stable polymorph in this dataset is 144 meV per atom. The value obtained for the size of the total moment is 0.000 μB/atom. The calculation puts the formation energy at -0.319 eV/atom.



[6]
A plane-wave DFT calculation with GGA-PBE was carried out for an optimized crystal structure of SmTcB14.

a b c (Å): 5.889 10.856 8.270
angles (deg): 90.00 90.00 90.00
Space group Imma (No. 74)
Symmetry-distinct sites (fractional):
1 Sm 0.000 0.250 0.126 [4 per cell]
2 Tc 0.250 0.250 0.750 [4 per cell]
3 B 0.000 0.083 0.669 [8 per cell]
4 B 0.000 0.121 0.868 [8 per cell]
5 B 0.000 0.167 0.465 [8 per cell]
6 B 0.162 0.062 0.339 [16 per cell]
7 B 0.246 0.078 0.549 [16 per cell]

Summary:
The calculation puts the total energy at -6.893 eV/atom. The value obtained for the size of the total moment is 0.000 μB/atom. The calculation puts the formation energy at -0.107 eV/atom.



[7]
A plane-wave DFT calculation with GGA-PBE was carried out for an optimized crystal structure of Sm2TcB6.

a b c (Å): 3.538 5.459 12.015
angles (deg): 90.00 90.00 90.00
Space group Immm (No. 71)
Symmetry-distinct sites (fractional):
1 Sm 0.000 0.000 0.163 [4 per cell]
2 Tc 0.000 0.500 0.000 [2 per cell]
3 B 0.000 0.147 0.386 [8 per cell]
4 B 0.000 0.335 0.500 [4 per cell]

Summary:
The calculation puts the total energy at -6.939 eV/atom. The value obtained for the size of the total moment is 0.078 μB/atom. The calculation puts the formation energy at -0.287 eV/atom.



[8]
A plane-wave DFT calculation with GGA-PBE was carried out for an optimized crystal structure of SmTcB4.

a b c (Å): 6.029 11.675 3.653
angles (deg): 90.00 90.00 90.00
Space group Pbam (No. 55)
Symmetry-distinct sites (fractional):
1 Sm 0.126 0.150 0.000 [4 per cell]
2 Tc 0.131 0.414 0.000 [4 per cell]
3 B 0.023 0.691 0.500 [4 per cell]
4 B 0.112 0.546 0.500 [4 per cell]
5 B 0.138 0.968 0.500 [4 per cell]
6 B 0.216 0.816 0.500 [4 per cell]

Summary:
The calculation puts the total energy at -7.538 eV/atom. The energy above the most stable polymorph in this dataset is 0 meV per atom. The value obtained for the size of the total moment is 0.000 μB/atom. The calculation puts the formation energy at -0.573 eV/atom.